First-principles (GGA+U) data for LiDy2VO6 after structural relaxation, as listed in Alexandria via LeMat-Bulk.

a b c (Å): 5.2583 5.6646 7.5026
angles (deg): 90.00 89.04 90.00
Fractional coordinates of all 20 atoms:
Li 0.5000 0.0000 0.0000
Li 0.0000 0.5000 0.5000
Dy 0.0195 0.9226 0.2524
Dy 0.5195 0.5774 0.7524
Dy 0.9805 0.0774 0.7476
Dy 0.4805 0.4226 0.2476
V 0.5000 0.0000 0.5000
V 0.0000 0.5000 0.0000
O 0.2957 0.6764 0.0520
O 0.7957 0.8236 0.5520
O 0.7043 0.3236 0.9480
O 0.2043 0.1764 0.4480
O 0.3289 0.7116 0.4387
O 0.8289 0.7884 0.9387
O 0.6711 0.2884 0.5613
O 0.1711 0.2116 0.0613
O 0.8874 0.5401 0.2393
O 0.3874 0.9599 0.7393
O 0.1126 0.4599 0.7607
O 0.6126 0.0401 0.2607

Computed properties:
VASP energy = -7.64 eV/atom